VASP calculation (PBEsol) on crystalline CaTaNi2 at its relaxed geometry.

POSCAR file:
```
CaTaNi2
1.0
2.737 0.000 0.000
0.000 4.516 0.000
-1.368 -2.258 5.038
Ca Ni Ta
1 2 1
direct
0.261 0.761 0.522 Ca
0.034 0.034 0.068 Ni
0.737 0.237 0.475 Ni
0.467 0.467 0.934 Ta
```

Summary:
density of states at the Fermi level: 0.729 states/eV/atom
formation energy from the elements: 0.188 eV per atom